Compound: Ti4MoN
Source: Alexandria
Functional: PBE
Structure: relaxed

Structure (POSCAR):
```
Ti4MoN
1.0
-4.080 2.387 -4.203
0.770 -6.193 -1.030
-2.265 0.880 5.840
Ti Mo N
8 2 2
Cartesian
-1.431 -2.781 0.002
-3.564 1.903 -1.240
-2.956 -1.453 -2.524
-2.882 -1.777 2.713
-4.164 -0.228 0.690
-4.166 -3.426 0.493
-1.982 -4.739 1.774
-0.367 -5.382 -0.487
-4.794 -0.233 -1.747
-0.795 -0.914 -1.257
-2.523 -2.901 -3.989
-3.213 1.587 0.754
```

Output
Formation energy without anion corrections = -0.13 eV per atom
Space group = I4_1md


Compound: Ti4MoN2
Source: Alexandria
Functional: PBE
Structure: relaxed

Structure (POSCAR):
```
Ti4MoN2
1.0
-1.870 -2.481 -0.133
1.299 0.689 5.245
-8.766 6.539 1.312
Ti N Mo
8 4 2
Cartesian
-7.208 3.208 5.198
-5.318 2.029 0.590
-5.129 3.694 3.237
-7.676 5.594 3.618
-0.935 -1.240 -0.066
-2.128 1.539 1.228
-4.207 1.053 3.188
-1.661 -0.847 2.807
-5.564 2.009 4.434
-8.925 4.516 4.938
-3.773 2.738 1.991
-0.411 0.231 1.488
-7.437 3.554 1.948
-1.900 1.193 4.478
```

Output
Formation energy without anion corrections = -0.90 eV per atom
Space group = Cmcm


Compound: TiMoN3
Source: Alexandria
Functional: PBE
Structure: relaxed

Structure (POSCAR):
```
TiMoN3
1.0
2.785 0.000 0.347
0.000 5.715 0.000
-0.991 0.000 7.956
N Mo Ti
6 2 2
Cartesian
1.867 2.833 2.043
-0.073 2.883 6.259
0.201 4.286 4.060
1.867 0.025 2.043
-0.073 5.690 6.259
1.593 1.429 4.242
0.421 4.286 2.293
1.373 1.429 6.009
0.399 1.429 2.469
1.395 4.286 5.833
```

Output
Formation energy without anion corrections = -0.59 eV per atom
Space group = Pmmn


Compound: TiMoN3
Source: Alexandria
Functional: PBE
Structure: relaxed

Structure (POSCAR):
```
TiMoN3
1.0
3.458 0.000 0.000
0.000 3.458 0.000
1.729 1.729 9.341
N Mo Ti
6 2 2
Cartesian
1.729 4.123 7.603
1.729 1.729 3.643
3.458 3.458 5.698
2.394 3.458 1.738
1.064 3.458 1.738
1.729 2.793 7.603
3.458 1.729 6.857
3.458 1.729 2.484
0.000 0.000 0.000
1.729 3.458 4.671
```

Output
Formation energy without anion corrections = -0.32 eV per atom
Space group = I-4m2


| no. | total energy (eV per atom) |
| --- | --- |
| 1 | -8.59 |
| 2 | -9.34 |
| 3 | -9.33 |
| 4 | -9.06 |